# 1
A relaxed structure of NdSmBi, computed with PBE-GGA.

Calculated values
The symmetry is I4mm (107). The uncorrected energy comes out at -4.97 eV/atom. As for the size of the total moment: 0.00 μB per cell. Its formation energy from the elements is -0.5186 eV/atom.

abc: 4.2054 4.2054 6.0392
angles: 110.38 110.38 90.00
Last column: nearest neighbours and their distance in Å.
Element x y z (fractional)
Sm (0.2720, 0.2720, 0.5440)  5 Nd 3.28-3.57, 5 Bi 3.38-3.64
Nd (0.9596, 0.9596, 0.9193)  5 Sm 3.28-3.57, 5 Bi 3.41-3.59
Bi (0.6183, 0.6183, 0.2367)  5 Sm 3.38-3.64, 5 Nd 3.41-3.59

***

# 2
A relaxed structure of Nd2Sm2Bi3, computed with PBE-GGA.

Calculated values
The symmetry is I2_13 (199). The uncorrected energy comes out at -5.19 eV/atom. As for the size of the total moment: 0.00 μB per cell. Its formation energy from the elements is -0.8182 eV/atom.

abc: 8.3476 8.3476 8.3476
angles: 109.47 109.47 109.47
Last column: nearest neighbours and their distance in Å.
Element x y z (fractional)
Bi (0.6221, 0.7500, 0.8721)  4 Sm 3.21-3.45, 4 Nd 3.23-3.47
Sm (0.5000, 0.8587, 0.5000)  6 Bi 3.21-3.45
Bi (0.3721, 0.1221, 0.7500)  4 Sm 3.21-3.45, 4 Nd 3.23-3.47
Sm (0.0000, 0.0000, 0.8587)  6 Bi 3.21-3.45
Bi (0.8779, 0.2500, 0.6279)  4 Sm 3.21-3.45, 4 Nd 3.23-3.47
Sm (0.1413, 0.6413, 0.6413)  6 Bi 3.21-3.45
Bi (0.7500, 0.6279, 0.3779)  4 Sm 3.21-3.45, 4 Nd 3.23-3.47
Nd (0.8543, 0.5000, 0.0000)  6 Bi 3.23-3.47
Bi (0.2500, 0.8721, 0.1221)  4 Sm 3.21-3.45, 4 Nd 3.23-3.47
Sm (0.3587, 0.5000, 0.0000)  6 Bi 3.21-3.45
Nd (0.6457, 0.1457, 0.1457)  6 Bi 3.23-3.47
Nd (0.0000, 0.0000, 0.3543)  6 Bi 3.23-3.47
Nd (0.5000, 0.3543, 0.5000)  6 Bi 3.23-3.47
Bi (0.1279, 0.3779, 0.2500)  4 Sm 3.21-3.45, 4 Nd 3.23-3.47

***

# 3
A relaxed structure of Nd5Sm5Bi6, computed with PBE-GGA.

Calculated values
The symmetry is Amm2 (38). The uncorrected energy comes out at -5.18 eV/atom. As for the size of the total moment: 1.07 μB per cell. Its formation energy from the elements is -0.7633 eV/atom.

abc: 6.5518 9.4747 9.4747
angles: 120.16 90.00 90.00
Last column: nearest neighbours and their distance in Å.
Element x y z (fractional)
Nd (0.0000, 0.2450, 0.2450)  5 Bi 3.22-3.54
Nd (0.2500, 0.6660, 0.3335)  2 Nd 3.28, 6 Bi 3.36-3.37
Bi (0.0000, 0.6155, 0.6155)  4 Sm 3.20-3.53, 5 Nd 3.37-3.50
Sm (0.0000, 0.7533, 0.0003)  5 Bi 3.20-3.53
Sm (0.5000, 0.2469, 0.9997)  5 Bi 3.20-3.53
Sm (0.5000, 0.7553, 0.7553)  5 Bi 3.21-3.53
Bi (0.0000, 0.3865, 0.9985)  4 Sm 3.20-3.53, 5 Nd 3.22-3.37
Nd (0.2500, 0.3335, 0.6660)  2 Nd 3.28, 6 Bi 3.36-3.37
Bi (0.5000, 0.3858, 0.3858)  3 Sm 3.21-3.49, 6 Nd 3.36-3.54
Bi (0.5000, 0.0000, 0.6142)  5 Sm 3.20-3.53, 4 Nd 3.36-3.37
Nd (0.7500, 0.3335, 0.6660)  2 Nd 3.28, 6 Bi 3.36-3.37
Bi (0.5000, 0.6142, 0.0000)  5 Sm 3.20-3.53, 4 Nd 3.36-3.37
Bi (0.0000, 0.9985, 0.3865)  4 Sm 3.20-3.53, 5 Nd 3.22-3.37
Sm (0.0000, 0.0003, 0.7533)  5 Bi 3.20-3.53
Sm (0.5000, 0.9997, 0.2469)  5 Bi 3.20-3.53
Nd (0.7500, 0.6660, 0.3335)  2 Nd 3.28, 6 Bi 3.36-3.37

***

# 4
A relaxed structure of NdSm4Bi5, computed with PBE-GGA.

Calculated values
The symmetry is I4/mmm (139). The uncorrected energy comes out at -5.24 eV/atom. As for the size of the total moment: 0.00 μB per cell. Its formation energy from the elements is -0.9317 eV/atom.

abc: 4.5692 4.5692 16.4636
angles: 97.98 97.98 90.00
Last column: nearest neighbours and their distance in Å.
Element x y z (fractional)
Sm (0.7997, 0.7997, 0.5994)  6 Bi 3.22-3.23
Sm (0.2003, 0.2003, 0.4006)  6 Bi 3.22-3.23
Bi (0.7000, 0.7000, 0.3999)  6 Sm 3.22-3.23
Bi (0.3000, 0.3000, 0.6001)  6 Sm 3.22-3.23
Bi (0.1006, 0.1006, 0.2013)  5 Sm 3.22-3.23, 1 Nd 3.25
Bi (0.8994, 0.8994, 0.7987)  5 Sm 3.22-3.23, 1 Nd 3.25
Sm (0.6002, 0.6002, 0.2003)  6 Bi 3.22-3.23
Bi (0.5000, 0.5000, 0.0000)  4 Nd 3.23, 2 Sm 3.23
Nd (0.0000, 0.0000, 0.0000)  6 Bi 3.23-3.25
Sm (0.3998, 0.3998, 0.7997)  6 Bi 3.22-3.23

***

# 5
A relaxed structure of NdSm5Bi4, computed with PBE-GGA.

Calculated values
The symmetry is C2/m (12). The uncorrected energy comes out at -4.93 eV/atom. As for the size of the total moment: 0.00 μB per cell. Its formation energy from the elements is -0.5417 eV/atom.

abc: 4.4962 8.7507 9.9851
angles: 106.01 103.01 90.00
Last column: nearest neighbours and their distance in Å.
Element x y z (fractional)
Bi (0.0106, 0.2617, 0.0211)  4 Sm 3.11-3.21, 2 Nd 3.17
Sm (0.8388, 0.1791, 0.6776)  4 Bi 3.13-3.21
Sm (0.1796, 0.3511, 0.3592)  3 Bi 3.16-3.19
Sm (0.5000, 0.5000, 0.0000)  4 Bi 3.11
Nd (0.5000, 0.0000, 0.0000)  6 Bi 3.17-3.20
Bi (0.3289, 0.9123, 0.6577)  5 Sm 3.13-3.21, 1 Nd 3.20
Bi (0.6711, 0.0877, 0.3423)  5 Sm 3.13-3.21, 1 Nd 3.20
Sm (0.1612, 0.8209, 0.3224)  4 Bi 3.13-3.21
Sm (0.8204, 0.6489, 0.6408)  3 Bi 3.16-3.19
Bi (0.9894, 0.7383, 0.9789)  4 Sm 3.11-3.21, 2 Nd 3.17

***

# 6
A relaxed structure of Nd2SmBi, computed with PBE-GGA.

Calculated values
The symmetry is P4/mmm (123). The uncorrected energy comes out at -4.91 eV/atom. As for the size of the total moment: 0.00 μB per cell. Its formation energy from the elements is -0.3734 eV/atom.

abc: 4.2819 4.2819 7.1027
angles: 90.00 90.00 90.00
Last column: nearest neighbours and their distance in Å.
Element x y z (fractional)
Nd (0.0000, 0.0000, 0.2705)  1 Nd 3.26, 4 Bi 3.44, 4 Sm 3.59
Sm (0.5000, 0.5000, 0.0000)  2 Bi 3.55, 8 Nd 3.59
Nd (0.0000, 0.0000, 0.7296)  1 Nd 3.26, 4 Bi 3.44, 4 Sm 3.59
Bi (0.5000, 0.5000, 0.5000)  8 Nd 3.44, 2 Sm 3.55

***

# 7
A relaxed structure of NdSm4Bi2, computed with PBE-GGA.

Calculated values
The symmetry is I4/mmm (139). The uncorrected energy comes out at -4.27 eV/atom. As for the size of the total moment: 0.44 μB per cell. Its formation energy from the elements is 0.2141 eV/atom.

abc: 5.4280 5.4280 9.3735
angles: 106.83 106.83 90.00
Last column: nearest neighbours and their distance in Å.
Element x y z (fractional)
Bi (0.3656, 0.3656, 0.7311)  1 Sm 3.15
Bi (0.6344, 0.6344, 0.2689)  1 Sm 3.15
Sm (0.5000, 0.0000, 0.0000)  2 Nd 2.71
Nd (0.0000, 0.0000, 0.0000)  4 Sm 2.71
Sm (0.8185, 0.8185, 0.6370)  1 Nd 3.10, 1 Bi 3.15
Sm (0.0000, 0.5000, 0.0000)  2 Nd 2.71
Sm (0.1815, 0.1815, 0.3630)  1 Nd 3.10, 1 Bi 3.15

***

# 8
A relaxed structure of Nd2SmBi, computed with PBE-GGA.

Calculated values
The symmetry is P4/mmm (123). The uncorrected energy comes out at -4.96 eV/atom. As for the size of the total moment: 0.00 μB per cell. Its formation energy from the elements is -0.4247 eV/atom.

abc: 5.0014 4.9789 4.9789
angles: 90.00 90.00 90.00
Last column: nearest neighbours and their distance in Å.
Element x y z (fractional)
Nd (0.0000, 0.5000, 0.0000)  4 Nd 3.52, 4 Bi 3.53, 4 Sm 3.53
Sm (0.5000, 0.5000, 0.5000)  4 Bi 3.52, 8 Nd 3.53
Nd (0.0000, 0.0000, 0.5000)  4 Nd 3.52, 4 Sm 3.53, 4 Bi 3.53
Bi (0.5000, 0.0000, 0.0000)  4 Sm 3.52, 8 Nd 3.53

***

# 9
A relaxed structure of Nd2Sm3Bi3, computed with PBE-GGA.

Calculated values
The symmetry is P6_3/mcm (193). The uncorrected energy comes out at -5.18 eV/atom. As for the size of the total moment: 1.06 μB per cell. Its formation energy from the elements is -0.7606 eV/atom.

abc: 6.5421 9.4560 9.4560
angles: 120.00 90.00 90.00
Last column: nearest neighbours and their distance in Å.
Element x y z (fractional)
Sm (0.7500, 0.7539, 0.7539)  5 Bi 3.20-3.53
Sm (0.7500, 0.2461, 0.0000)  5 Bi 3.20-3.53
Sm (0.2500, 0.2461, 0.2461)  5 Bi 3.20-3.53
Nd (0.0000, 0.3333, 0.6667)  2 Nd 3.27, 6 Bi 3.36
Sm (0.2500, 0.0000, 0.7539)  5 Bi 3.20-3.53
Bi (0.7500, 0.6143, 0.0000)  5 Sm 3.20-3.53, 4 Nd 3.36
Bi (0.7500, 0.3857, 0.3857)  5 Sm 3.20-3.53, 4 Nd 3.36
Nd (0.5000, 0.6667, 0.3333)  2 Nd 3.27, 6 Bi 3.36
Bi (0.2500, 0.3857, 0.0000)  5 Sm 3.20-3.53, 4 Nd 3.36
Sm (0.2500, 0.7539, 0.0000)  5 Bi 3.20-3.53
Bi (0.2500, 0.0000, 0.3857)  5 Sm 3.20-3.53, 4 Nd 3.36
Nd (0.5000, 0.3333, 0.6667)  2 Nd 3.27, 6 Bi 3.36
Bi (0.2500, 0.6143, 0.6143)  5 Sm 3.20-3.53, 4 Nd 3.36
Bi (0.7500, 0.0000, 0.6143)  5 Sm 3.20-3.53, 4 Nd 3.36
Nd (0.0000, 0.6667, 0.3333)  2 Nd 3.27, 6 Bi 3.36
Sm (0.7500, 0.0000, 0.2461)  5 Bi 3.20-3.53

***

# 10
A relaxed structure of TbNd2Sm3Bi6, computed with PBE-GGA.

Calculated values
The symmetry is C2/m (12). The uncorrected energy comes out at -5.23 eV/atom. As for the size of the total moment: 0.00 μB per cell. Its formation energy from the elements is -0.9245 eV/atom.

abc: 4.5661 9.1280 10.2036
angles: 102.89 102.93 90.00
Last column: nearest neighbours and their distance in Å.
Element x y z (fractional)
Nd (0.1660, 0.3325, 0.3320)  6 Bi 3.24-3.25
Tb (0.5000, 0.0000, 0.0000)  6 Bi 3.20-3.21
Bi (0.9986, 0.2462, 0.9973)  2 Tb 3.21, 3 Sm 3.22-3.25, 1 Nd 3.24
Sm (0.1677, 0.8336, 0.3353)  6 Bi 3.21-3.24
Bi (0.6652, 0.0800, 0.3304)  1 Tb 3.20, 3 Sm 3.21-3.24, 2 Nd 3.24
Bi (0.0014, 0.7538, 0.0027)  2 Tb 3.21, 3 Sm 3.22-3.25, 1 Nd 3.24
Bi (0.3339, 0.4150, 0.6678)  3 Sm 3.21-3.22, 3 Nd 3.24-3.25
Sm (0.5000, 0.5000, 0.0000)  6 Bi 3.22-3.25
Nd (0.8340, 0.6675, 0.6680)  6 Bi 3.24-3.25
Sm (0.8323, 0.1664, 0.6647)  6 Bi 3.21-3.24
Bi (0.3348, 0.9200, 0.6696)  1 Tb 3.20, 3 Sm 3.21-3.24, 2 Nd 3.24
Bi (0.6661, 0.5850, 0.3322)  3 Sm 3.21-3.22, 3 Nd 3.24-3.25

***

# 11
A relaxed structure of Tb3Nd2SmBi6, computed with PBE-GGA.

Calculated values
The symmetry is C2/m (12). The uncorrected energy comes out at -5.20 eV/atom. As for the size of the total moment: 0.00 μB per cell. Its formation energy from the elements is -0.9095 eV/atom.

abc: 4.5444 9.0819 10.1533
angles: 102.84 102.93 90.00
Last column: nearest neighbours and their distance in Å.
Element x y z (fractional)
Bi (0.3326, 0.9217, 0.6651)  3 Tb 3.18-3.19, 1 Sm 3.23, 2 Nd 3.24
Tb (0.8329, 0.1667, 0.6658)  6 Bi 3.18-3.19
Bi (0.3350, 0.4126, 0.6699)  3 Tb 3.18, 3 Nd 3.25
Sm (0.5000, 0.0000, 0.0000)  6 Bi 3.23
Bi (0.0020, 0.7481, 0.0040)  3 Tb 3.18-3.19, 2 Sm 3.23, 1 Nd 3.24
Tb (0.1671, 0.8333, 0.3342)  6 Bi 3.18-3.19
Nd (0.1664, 0.3328, 0.3327)  6 Bi 3.24-3.25
Nd (0.8336, 0.6672, 0.6673)  6 Bi 3.24-3.25
Bi (0.6650, 0.5874, 0.3301)  3 Tb 3.18, 3 Nd 3.25
Bi (0.6674, 0.0783, 0.3349)  3 Tb 3.18-3.19, 1 Sm 3.23, 2 Nd 3.24
Bi (0.9980, 0.2519, 0.9960)  3 Tb 3.18-3.19, 2 Sm 3.23, 1 Nd 3.24
Tb (0.5000, 0.5000, 0.0000)  6 Bi 3.18-3.19

***

# 12
A relaxed structure of TbNd2SmBi5, computed with PBE-GGA.

Calculated values
The symmetry is P4/mmm (123). The uncorrected energy comes out at -4.32 eV/atom. As for the size of the total moment: 0.00 μB per cell. Its formation energy from the elements is -0.0607 eV/atom.

abc: 5.5176 5.5176 11.9762
angles: 90.00 90.00 90.00
Last column: nearest neighbours and their distance in Å.
Element x y z (fractional)
Bi (0.0000, 0.0000, 0.7555)  1 Tb 2.93, 1 Sm 3.06
Tb (0.0000, 0.0000, 0.0000)  2 Bi 2.93
Bi (0.0000, 0.0000, 0.2445)  1 Tb 2.93, 1 Sm 3.06
Bi (0.5000, 0.0000, 0.5000)  2 Sm 2.76
Bi (0.5000, 0.5000, 0.0000)  2 Nd 3.29
Bi (0.0000, 0.5000, 0.5000)  2 Sm 2.76
Nd (0.5000, 0.5000, 0.2748)  1 Bi 3.29
Sm (0.0000, 0.0000, 0.5000)  6 Bi 2.76-3.06
Nd (0.5000, 0.5000, 0.7252)  1 Bi 3.29

***

Which value of formation energy from the elements does entry 6 give? -0.3734 eV/atom

***

uncorrected energy of number 12 (TbNd2SmBi5)? -4.32 eV/atom